Material: Dy2Tm4Tl
Method: DFT, GGA-PBE
State: relaxed

extended XYZ file:
```
28
Lattice="3.4747 0.0000 0.0000 0.0000 20.1681 -0.0004 0.0000 -0.0002 11.9170" Properties=species:S:1:pos:R:3 pbc="T T T"
Dy 2.6060 7.2539 11.5341
Dy 2.6060 19.1253 1.1694
Dy 0.8687 2.8307 5.5754
Dy 2.6060 17.3372 6.3410
Dy 2.6060 9.0416 4.7886
Dy 0.8687 11.1263 7.1278
Dy 0.8687 12.9140 0.3826
Dy 0.8687 1.0425 10.7473
Tm 0.8687 11.9882 3.7741
Tm 2.6060 0.0152 4.4907
Tm 2.6060 3.9290 11.8480
Tm 0.8687 5.3255 9.1774
Tm 0.8687 20.1527 7.4258
Tm 0.8687 1.9052 2.1842
Tm 2.6060 8.1796 8.1424
Tm 2.6060 10.0994 1.4675
Tm 0.8687 6.1559 5.8895
Tm 2.6060 4.7599 3.2190
Tm 2.6060 14.0119 6.0270
Tm 0.8687 15.4080 8.6976
Tm 0.8687 10.0686 10.4491
Tm 0.8687 16.2389 0.0687
Tm 2.6060 14.8423 2.7392
Tm 2.6060 18.2627 9.7325
Tl 2.6060 12.7950 9.4525
Tl 0.8687 17.4556 3.4940
Tl 2.6060 2.7123 8.4226
Tl 0.8687 7.3729 2.4641
```

Properties
DFT formation energy	-0.05	eV/atom
relative energy among the computed polymorphs	0	meV per atom